Record 1
Cd2As: relaxed, PBE.

```
Cd2As
1.0
4.9708 0.0000 0.0000
-2.4854 4.3049 0.0000
0.0000 0.0000 3.1335
Cd As
2 1
direct
0.3333 0.6667 0.2518 Cd
0.6667 0.3333 0.7482 Cd
0.0000 0.0000 0.0000 As
```

The calculation puts the polymorph energy (0 for the lowest one) at 46 kJ/mol of formula units. The space group is No. 164. The calculation puts the total magnetization at 0.00 μB per formula unit. The calculation puts the formation energy from the elements at 0.159 eV per atom.



Record 2
Cd2As: relaxed, PBE.

```
Cd2As
1.0
-2.5491 -4.8130 0.3486
0.0373 -2.8506 4.6537
-1.2778 4.7443 -2.3754
Cd As
2 1
direct
0.3357 0.3357 0.0000 Cd
0.6643 0.6643 0.0000 Cd
0.0000 0.0000 0.0000 As
```

The calculation puts the polymorph energy (0 for the lowest one) at 43 kJ/mol of formula units. The space group is No. 71. The calculation puts the total magnetization at 0.00 μB per formula unit. The calculation puts the formation energy from the elements at 0.148 eV per atom.



Record 3
Cd4As3: relaxed, PBE.

```
Cd4As3
1.0
2.9140 -5.0472 0.0000
2.9140 5.0472 0.0000
0.0000 0.0000 5.4404
As Cd
3 4
direct
0.0000 0.5000 0.0000 As
0.5000 0.0000 0.0000 As
0.5000 0.5000 0.0000 As
0.0000 0.0000 0.2552 Cd
0.0000 0.0000 0.7448 Cd
0.6667 0.3333 0.5000 Cd
0.3333 0.6667 0.5000 Cd
```

The calculation puts the polymorph energy (0 for the lowest one) at 136 kJ/mol of formula units. The space group is No. 191. The calculation puts the total magnetization at 0.00 μB per formula unit. The calculation puts the formation energy from the elements at 0.255 eV per atom.



Record 4
Cd2As: relaxed, PBE.

```
Cd2As
1.0
0.0000 4.0730 4.0730
4.0730 0.0000 4.0730
4.0730 4.0730 0.0000
Cd As
4 2
direct
0.1250 0.1250 0.1250 Cd
0.6250 0.1250 0.1250 Cd
0.1250 0.6250 0.1250 Cd
0.1250 0.1250 0.6250 Cd
0.5000 0.5000 0.5000 As
0.7500 0.7500 0.7500 As
```

The calculation puts the polymorph energy (0 for the lowest one) at 100 kJ/mol of formula units. The space group is No. 227. The calculation puts the total magnetization at 0.00 μB per formula unit. The calculation puts the formation energy from the elements at 0.346 eV per atom.



Record 5
Cd2As: relaxed, PBE.

```
Cd2As
1.0
2.0377 5.4758 0.0157
-2.0377 5.4758 0.0157
0.0000 3.2221 6.2741
Cd As
4 2
direct
0.4276 0.4276 0.8530 Cd
0.1418 0.1418 0.4534 Cd
0.5724 0.5724 0.1470 Cd
0.8582 0.8582 0.5466 Cd
0.8194 0.8194 0.1851 As
0.1806 0.1806 0.8149 As
```

The calculation puts the polymorph energy (0 for the lowest one) at 20 kJ/mol of formula units. The space group is No. 12. The calculation puts the total magnetization at 0.00 μB per formula unit. The calculation puts the formation energy from the elements at 0.070 eV per atom.



Record 6
Cd2As: relaxed, PBE.

```
Cd2As
1.0
6.9692 0.0061 0.0000
5.5347 4.2351 0.0000
-6.2520 -2.1206 2.2329
Cd As
2 1
direct
0.8366 0.8366 0.0000 Cd
0.1634 0.1634 0.0000 Cd
0.5000 0.5000 0.0000 As
```

The calculation puts the polymorph energy (0 for the lowest one) at 47 kJ/mol of formula units. The space group is No. 139. The calculation puts the total magnetization at 0.00 μB per formula unit. The calculation puts the formation energy from the elements at 0.163 eV per atom.